Density functional theory data (PBE-GGA) for crystalline CuAg2As2 at its relaxed geometry.

Properties
energy relative to the elements	0.1546	eV per atom
SG	No. 127
VASP energy	-36.65	eV per cell

Lattice parameters (Å, degrees): 6.3946 6.3946 4.5394 90.00 90.00 90.00
Fractional positions:
As 0.6434 0.1434 0.0000
As 0.8566 0.6434 0.0000
As 0.3566 0.8566 0.0000
As 0.1434 0.3566 0.0000
Ag 0.6810 0.8190 0.5000
Ag 0.1810 0.6810 0.5000
Ag 0.3190 0.1810 0.5000
Ag 0.8190 0.3190 0.5000
Cu 0.5000 0.5000 0.0000
Cu 0.0000 0.0000 0.0000